Record 1
Nb2RhF | PBE | relaxed

Properties
E_form (uncorrected): -402 meV per atom

Cell: 4.4259 4.4259 4.4259 Å, 60.00 60.00 60.00°
Element x y z (fractional)
Nb: 0.2500 0.2500 0.2500
Nb: 0.7500 0.7500 0.7500
Rh: 0.0000 0.0000 0.0000
F: 0.5000 0.5000 0.5000

=====

Record 2
Nb3RhF | PBE | relaxed

Properties
E_form (uncorrected): -54 meV per atom

Cell: 4.2831 4.2831 4.2831 Å, 90.00 90.00 90.00°
Element x y z (fractional)
Nb: 0.0000 0.0000 0.5000
Nb: 0.0000 0.5000 0.0000
Nb: 0.5000 0.0000 0.0000
Rh: 0.5000 0.5000 0.5000
F: 0.0000 0.0000 0.0000

=====

Record 3
Nb2RhF | PBE | relaxed

Properties
E_form (uncorrected): -473 meV per atom

Cell: 5.4632 5.4632 5.4632 Å, 108.50 108.50 111.42°
Element x y z (fractional)
Nb: 0.0810 0.6250 0.9560
Nb: 0.3750 0.3310 0.4560
Nb: 0.6690 0.1250 0.0440
Nb: 0.8750 0.9190 0.5440
Rh: 0.2500 0.7500 0.5000
Rh: 0.5000 0.5000 0.0000
F: 0.0000 0.0000 0.0000
F: 0.7500 0.2500 0.5000